DFT (PBE) results for ZrMn2AlCl after structural relaxation.

```
ZrMn2AlCl
1.0
4.7395 0.0000 0.0000
0.0000 5.2713 0.0000
0.0000 0.0000 4.7395
Mn Al Zr Cl
2 1 1 1
Direct
0.0000 0.0000 0.5000
0.5000 0.0000 0.0000
0.0000 0.0000 0.0000
0.0000 0.5000 0.0000
0.5000 0.5000 0.5000
```

Summary:
formation energy (no corrections) = 0.767 eV/atom
SG = No. 123
DOS(E_F) = 6.6 states/eV/f.u.
calculated total energy = -0.21052 Ha/atom